A plane-wave DFT calculation with PBE with a Hubbard U was carried out for crystalline LiMn2AgF8 at its relaxed geometry.

Summary:
- total magnetization (μB per cell) = 7.973
- E (eV/atom) = -5.18

Cell and atoms, written as POSCAR:
```
LiMn2AgF8
1.0
4.971 0.163 -0.076
0.223 4.941 -0.078
-0.092 -0.089 6.569
Li F Mn Ag
1 8 2 1
Cartesian
0.000 0.000 0.000
3.880 1.175 5.014
1.189 3.805 5.011
3.452 3.430 6.342
1.695 1.625 3.432
1.223 3.840 1.400
3.408 3.390 2.982
3.914 1.210 1.403
1.651 1.585 0.073
2.551 2.507 1.495
2.552 2.508 4.920
-0.046 -0.045 3.284
```